[1]
The following is a PBE calculation of a relaxed structure of CaSnGeAu2, from Alexandria via LeMat-Bulk.

Computed properties:
The calculated formation energy is 0.085 eV per atom. The total magnetization is 0.00 Bohr magnetons per cell.

Structure (extended XYZ):
```
5
Lattice="5.220 0.000 0.000 0.000 5.220 0.000 0.000 0.000 5.300" Properties=species:S:1:pos:R:3 pbc="T T T"
Ca 0.000 0.000 0.000
Sn 2.610 2.610 2.650
Ge 2.610 2.610 0.000
Au 0.000 2.610 2.650
Au 2.610 0.000 2.650
```

---

[2]
The following is a PBE calculation of a relaxed structure of SrCaGe2Au2, from Alexandria via LeMat-Bulk.

Computed properties:
The calculated formation energy is -0.662 eV per atom. The total magnetization is 0.00 Bohr magnetons per cell.

Structure (extended XYZ):
```
6
Lattice="4.626 0.000 0.000 -2.313 4.006 0.000 0.000 0.000 7.530" Properties=species:S:1:pos:R:3 pbc="T T T"
Sr 0.000 0.000 0.000
Ca 0.000 0.000 3.765
Ge 0.000 2.671 5.396
Ge 2.313 1.335 2.134
Au 0.000 2.671 2.171
Au 2.313 1.335 5.359
```

---

[3]
The following is a PBE calculation of a relaxed structure of SrCaGe2Au5, from Alexandria via LeMat-Bulk.

Computed properties:
The calculated formation energy is -0.440 eV per atom. The total magnetization is 0.00 Bohr magnetons per cell.

Structure (extended XYZ):
```
9
Lattice="4.699 0.000 0.000 0.000 4.699 0.000 0.000 0.000 9.033" Properties=species:S:1:pos:R:3 pbc="T T T"
Sr 0.000 0.000 0.000
Ca 0.000 0.000 4.516
Ge 2.349 2.349 3.237
Ge 2.349 2.349 5.795
Au 0.000 2.349 2.180
Au 0.000 2.349 6.853
Au 2.349 0.000 2.180
Au 2.349 0.000 6.853
Au 2.349 2.349 0.000
```